Here is a geometry-optimized RbTlMo2 structure from Alexandria via LeMat-Bulk. Energies are from PBE.

## Properties
Relative energy among the computed polymorphs, eV/atom: 0.070
E_form, eV per atom: 1.994
Calculated volume, Å³ per cell: 200.9
Space group: No. 122
Total magnetization, μB/atom: 0.000
Electronic total energy, eV per cell: -34.0

Cell lengths 6.6236, 6.6236, 6.6236 Å; angles 100.14, 100.14, 130.39 degrees
Last column: nearest neighbours and their distance in Å.
Fractional coordinates of all 8 atoms:
Rb  0.0000  0.0000  0.0000  2 Tl 2.78
Rb  0.7500  0.2500  0.5000  2 Tl 2.78
Tl  0.2500  0.7500  0.5000  2 Rb 2.78, 4 Mo 2.85
Tl  0.5000  0.5000  0.0000  2 Rb 2.78, 4 Mo 2.85
Mo  0.1680  0.6250  0.0430  2 Tl 2.85, 2 Mo 2.87
Mo  0.3750  0.4180  0.5430  2 Tl 2.85, 2 Mo 2.87
Mo  0.5820  0.1250  0.9570  2 Tl 2.85, 2 Mo 2.87
Mo  0.8750  0.8320  0.4570  2 Tl 2.85, 2 Mo 2.87

=====

Here is a geometry-optimized RbTlMo3 structure from Alexandria via LeMat-Bulk. Energies are from PBE.

## Properties
Relative energy among the computed polymorphs, eV/atom: 0.000
E_form, eV per atom: 2.726
Calculated volume, Å³ per cell: 140.7
Space group: No. 221
Total magnetization, μB/atom: 0.000
Electronic total energy, eV per cell: -22.2

Cell lengths 5.2012, 5.2012, 5.2012 Å; angles 90.00, 90.00, 90.00 degrees
Last column: nearest neighbours and their distance in Å.
Fractional coordinates of all 5 atoms:
Rb  0.0000  0.0000  0.0000  12 Mo 3.68
Tl  0.5000  0.5000  0.5000  6 Mo 2.60
Mo  0.0000  0.5000  0.5000  2 Tl 2.60
Mo  0.5000  0.0000  0.5000  2 Tl 2.60
Mo  0.5000  0.5000  0.0000  2 Tl 2.60

=====

Here is a geometry-optimized RbTlMo2 structure from Alexandria via LeMat-Bulk. Energies are from PBE.

## Properties
Relative energy among the computed polymorphs, eV/atom: 0.000
E_form, eV per atom: 1.924
Calculated volume, Å³ per cell: 90.0
Space group: No. 225
Total magnetization, μB/atom: 1.139
Electronic total energy, eV per cell: -17.3

Cell lengths 5.0303, 5.0303, 5.0303 Å; angles 60.00, 60.00, 60.00 degrees
Last column: nearest neighbours and their distance in Å.
Fractional coordinates of all 4 atoms:
Rb  0.0000  0.0000  0.0000  8 Mo 3.08
Tl  0.5000  0.5000  0.5000  8 Mo 3.08
Mo  0.2500  0.2500  0.2500  4 Tl 3.08, 4 Rb 3.08
Mo  0.7500  0.7500  0.7500  4 Rb 3.08, 4 Tl 3.08

=====

Here is a geometry-optimized RbTl2Mo structure from Alexandria via LeMat-Bulk. Energies are from PBE.

## Properties
Relative energy among the computed polymorphs, eV/atom: 0.041
E_form, eV per atom: 0.917
Calculated volume, Å³ per cell: 117.3
Space group: No. 225
Total magnetization, μB/atom: 0.880
Electronic total energy, eV per cell: -12.9

Cell lengths 5.4945, 5.4945, 5.4945 Å; angles 60.00, 60.00, 60.00 degrees
Last column: nearest neighbours and their distance in Å.
Fractional coordinates of all 4 atoms:
Rb  0.0000  0.0000  0.0000  8 Tl 3.36
Tl  0.2500  0.2500  0.2500  4 Mo 3.36, 4 Rb 3.36
Tl  0.7500  0.7500  0.7500  4 Mo 3.36, 4 Rb 3.36
Mo  0.5000  0.5000  0.5000  8 Tl 3.36

=====

Here is a geometry-optimized RbTl3Mo structure from Alexandria via LeMat-Bulk. Energies are from PBE.

## Properties
Relative energy among the computed polymorphs, eV/atom: 1.376
E_form, eV per atom: 1.666
Calculated volume, Å³ per cell: 241.7
Space group: No. 221
Total magnetization, μB/atom: 0.778
Electronic total energy, eV per cell: -10.6

Cell lengths 6.2293, 6.2293, 6.2293 Å; angles 90.00, 90.00, 90.00 degrees
Last column: nearest neighbours and their distance in Å.
Fractional coordinates of all 5 atoms:
Rb  0.0000  0.0000  0.0000  6 Tl 3.11
Tl  0.0000  0.0000  0.5000  2 Rb 3.11
Tl  0.0000  0.5000  0.0000  2 Rb 3.11
Tl  0.5000  0.0000  0.0000  2 Rb 3.11
Mo  0.5000  0.5000  0.5000  12 Tl 4.40

=====

Here is a geometry-optimized Rb2TlMo structure from Alexandria via LeMat-Bulk. Energies are from PBE.

## Properties
Relative energy among the computed polymorphs, eV/atom: 0.160
E_form, eV per atom: 1.202
Calculated volume, Å³ per cell: 169.8
Space group: No. 225
Total magnetization, μB/atom: 0.920
Electronic total energy, eV per cell: -10.3

Cell lengths 6.2162, 6.2162, 6.2162 Å; angles 60.00, 60.00, 60.00 degrees
Last column: nearest neighbours and their distance in Å.
Fractional coordinates of all 4 atoms:
Rb  0.2500  0.2500  0.2500  4 Tl 3.81, 4 Mo 3.81
Rb  0.7500  0.7500  0.7500  4 Tl 3.81, 4 Mo 3.81
Tl  0.0000  0.0000  0.0000  8 Rb 3.81
Mo  0.5000  0.5000  0.5000  8 Rb 3.81

=====

E_form of number 5 (RbTl3Mo)?
1.666 eV per atom

=====

Look up the E_form of the fifth one.
1.666 eV per atom